Sc2MnN after structural relaxation. Source: Alexandria via LeMat-Bulk, functional GGA-PBE.

Summary:
**Uncorrected energy**: -63.3 eV for the cell shown

Cell: 6.3279 6.3279 5.8014 Å, 56.95 56.95 90.00°
Each line ends with the local moment (μB).
Positions (direct):
Sc: 0.3750 0.4740 0.7500  -0.05
Sc: 0.2240 0.6250 0.2500  -0.06
Sc: 0.8750 0.7760 0.7500  -0.04
Sc: 0.5260 0.1250 0.2500  -0.07
N: 0.5000 0.5000 0.0000  0.06
N: 0.2500 0.7500 0.5000  0.05
Mn: 0.7500 0.2500 0.5000  3.76
Mn: 0.0000 0.0000 0.0000  3.75

=====

Sc2MnN after structural relaxation. Source: Alexandria via LeMat-Bulk, functional GGA-PBE.

Summary:
**Uncorrected energy**: -29.1 eV for the cell shown

Cell: 8.2988 8.2988 8.2988 Å, 24.57 24.57 24.57°
Each line ends with the local moment (μB).
Positions (direct):
Sc: 0.0765 0.0765 0.0765  -0.04
Sc: 0.9235 0.9235 0.9235  -0.04
Mn: 0.5000 0.5000 0.5000  3.73
N: 0.0000 0.0000 0.0000  0.06